No. 1
# Mo4RhC

Mo4RhC after structural relaxation (PBE, Alexandria).

Properties
Density of states at the Fermi level: 0.79 states/eV per atom
Size of the total moment: 0.00 μB per cell
VASP energy: -9.89 eV/atom

Cell: 7.4466 12.1982 4.9716 Å, 90.00 130.17 90.00°
Space group C2/c (No. 15)
Symmetry-distinct sites (fractional):
Mo  0.1390  0.0814  0.1469 x8
Mo  0.1775  0.3116  0.1781 x8
Rh  0.0000  0.4973  0.2500 x4
C  0.0000  0.2006  0.7500 x4

---

No. 2
# TbSn2Pd

TbSn2Pd after structural relaxation (PBE, Alexandria).

Properties
Density of states at the Fermi level: 0.36 states/eV per atom
Size of the total moment: 0.00 μB per cell
VASP energy: -5.14 eV/atom

Cell: 4.5524 9.5105 17.6509 Å, 90.00 90.00 90.00°
Space group Immm (No. 71)
Symmetry-distinct sites (fractional):
Tb  0.0000  0.0000  0.2014 x4
Tb  0.0000  0.2315  0.0000 x4
Sn  0.0000  0.0000  0.4196 x4
Sn  0.0000  0.3428  0.1994 x8
Sn  0.0000  0.5000  0.4223 x4
Pd  0.0000  0.2542  0.3542 x8

---

No. 3
# CdW3

CdW3 after structural relaxation (PBE, Alexandria).

Properties
Density of states at the Fermi level: 0.55 states/eV per atom
Size of the total moment: 0.00 μB per cell
VASP energy: -9.35 eV/atom

Cell: 5.6906 8.7533 2.7229 Å, 90.00 90.00 90.00°
Space group Cmmm (No. 65)
Symmetry-distinct sites (fractional):
Cd  0.0000  0.0000  0.0000 x2
W  0.0000  0.5000  0.0000 x2
W  0.2500  0.2500  0.5000 x4

---

No. 4
# YNbCr

YNbCr after structural relaxation (PBE, Alexandria).

Properties
Density of states at the Fermi level: 1.32 states/eV per atom
Size of the total moment: 3.82 μB per cell
VASP energy: -8.43 eV/atom

Cell: 3.8907 11.4839 5.6630 Å, 90.00 90.00 90.00°
Space group Cmcm (No. 63)
Symmetry-distinct sites (fractional):
Y  0.0000  0.2098  0.2500 x4
Nb  0.0000  0.0618  0.7500 x4
Cr  0.0000  0.5000  0.0000 x4

---

No. 5
# Nd8Sn5As

Nd8Sn5As after structural relaxation (PBE, Alexandria).

Properties
Density of states at the Fermi level: 0.53 states/eV per atom
Size of the total moment: 0.00 μB per cell
VASP energy: -5.31 eV/atom

Cell: 9.4956 9.4956 9.5665 Å, 90.00 90.00 90.00°
Space group I-4 (No. 82)
Symmetry-distinct sites (fractional):
Nd  0.0689  0.1913  0.3028 x8
Nd  0.0704  0.3215  0.9464 x8
Sn  0.0000  0.0000  0.0000 x2
Sn  0.1224  0.2486  0.6258 x8
As  0.0000  0.5000  0.2500 x2

---

No. 6
# Cs3ScF6

Cs3ScF6 after structural relaxation (PBE, Alexandria).

Properties
Density of states at the Fermi level: 0.00 states/eV per atom
Formation energy from raw total energies: -3.29 eV per atom
Size of the total moment: 0.29 μB per cell
VASP energy: -5.30 eV/atom

Cell: 11.3992 11.3992 13.3953 Å, 90.00 90.00 120.00°
Space group R-3 (No. 148, hexagonal axes)
Symmetry-distinct sites (fractional):
Cs  0.0348  0.2680  0.2124 x18
Sc  0.0000  0.0000  0.0000 x3
Sc  0.0000  0.0000  0.5000 x3
F  0.0209  0.1594  0.4145 x18
F  0.0217  0.1560  0.9103 x18

---

No. 7
# TcW2AuN

TcW2AuN after structural relaxation (PBE, Alexandria).

Properties
Density of states at the Fermi level: 1.10 states/eV per atom
Formation energy from raw total energies: 0.51 eV per atom
Size of the total moment: 0.00 μB per cell
VASP energy: -9.07 eV/atom

Cell: 4.0758 4.0758 4.3714 Å, 90.00 90.00 90.00°
Space group P4/mmm (No. 123)
Symmetry-distinct sites (fractional):
Tc  0.0000  0.0000  0.0000 x1
W  0.0000  0.5000  0.5000 x2
Au  0.5000  0.5000  0.0000 x1
N  0.5000  0.5000  0.5000 x1

---

No. 8
# MgPaBi2

MgPaBi2 after structural relaxation (PBE, Alexandria).

Properties
Density of states at the Fermi level: 1.26 states/eV per atom
Size of the total moment: 2.17 μB per cell
VASP energy: -4.70 eV/atom

Cell: 7.6636 7.6636 7.6636 Å, 90.00 90.00 90.00°
Space group Fm-3m (No. 225)
Symmetry-distinct sites (fractional):
Mg  0.0000  0.0000  0.0000 x4
Pa  0.0000  0.0000  0.5000 x4
Bi  0.2500  0.2500  0.2500 x8